[1]
{
  "formula": "MgTi2HPt",
  "functional": "PBE",
  "state": "optimized geometry",
  "lattice_angstrom": [[3.9278, 0.0000, 0.0000], [0.0000, 3.9278, 0.0000], [0.0000, 0.0000, 4.3562]],
  "species": ["Mg", "Ti", "Ti", "H", "Pt"],
  "fractional_positions": [[0.0000, 0.0000, 0.0000], [0.0000, 0.5000, 0.5000], [0.5000, 0.0000, 0.5000], [0.0000, 0.0000, 0.5000], [0.5000, 0.5000, 0.0000]],
  "total_energy_ev_per_atom": -5.828,
  "rho_g_cm3": 7.811,
  "de_polymorph_kj_per_mol_atoms": 0.0
}

[2]
{
  "formula": "MgTiH2Pt",
  "functional": "PBE",
  "state": "optimized geometry",
  "lattice_angstrom": [[3.5480, 0.0000, 0.0000], [0.0000, 3.5480, 0.0000], [0.0000, 0.0000, 7.6919]],
  "species": ["Mg", "Ti", "H", "H", "Pt"],
  "fractional_positions": [[0.0000, 0.0000, 0.0000], [0.0000, 0.0000, 0.5000], [0.0000, 0.5000, 0.0000], [0.5000, 0.0000, 0.0000], [0.5000, 0.5000, 0.5000]],
  "total_energy_ev_per_atom": -4.145,
  "rho_g_cm3": 4.618
}

[3]
{
  "formula": "MgTlH8Pt2",
  "functional": "PBE",
  "state": "optimized geometry",
  "lattice_angstrom": [[2.4399, 1.4087, 6.5754], [-2.4399, 1.4087, 6.5754], [0.0000, -2.8174, 6.5754]],
  "species": ["Mg", "Tl", "H", "H", "H", "H", "H", "H", "H", "H", "Pt", "Pt"],
  "fractional_positions": [[0.0000, 0.0000, 0.0000], [0.5000, 0.5000, 0.5000], [0.0797, 0.6840, 0.4028], [0.2110, 0.2110, 0.2110], [0.3160, 0.5972, 0.9203], [0.4028, 0.0797, 0.6840], [0.5972, 0.9203, 0.3160], [0.6840, 0.4028, 0.0797], [0.7890, 0.7890, 0.7890], [0.9203, 0.3160, 0.5972], [0.2914, 0.2914, 0.2914], [0.7086, 0.7086, 0.7086]],
  "total_energy_ev_per_atom": -3.499,
  "rho_g_cm3": 7.677
}

[4]
{
  "formula": "MgTl2HPt",
  "functional": "PBE",
  "state": "optimized geometry",
  "lattice_angstrom": [[5.5683, 0.0000, 0.0000], [0.0000, 5.5683, 0.0000], [0.0000, 0.0000, 3.4425]],
  "species": ["Mg", "Tl", "Tl", "H", "Pt"],
  "fractional_positions": [[0.0000, 0.0000, 0.0000], [0.0000, 0.5000, 0.5000], [0.5000, 0.0000, 0.5000], [0.5000, 0.5000, 0.0000], [0.5000, 0.5000, 0.5000]],
  "total_energy_ev_per_atom": -3.092,
  "rho_g_cm3": 9.788
}

[5]
{
  "formula": "MgTlHPt2",
  "functional": "PBE",
  "state": "optimized geometry",
  "lattice_angstrom": [[4.1192, 0.0000, 0.0000], [0.0000, 4.1192, 0.0000], [0.0000, 0.0000, 4.3251]],
  "species": ["Mg", "Tl", "H", "Pt", "Pt"],
  "fractional_positions": [[0.0000, 0.0000, 0.0000], [0.5000, 0.5000, 0.0000], [0.0000, 0.0000, 0.5000], [0.0000, 0.5000, 0.5000], [0.5000, 0.0000, 0.5000]],
  "total_energy_ev_per_atom": -4.053,
  "rho_g_cm3": 14.025
}

[6]
{
  "formula": "Y2MgHPt",
  "functional": "PBE",
  "state": "optimized geometry",
  "lattice_angstrom": [[4.7827, 0.0000, 0.0000], [0.0000, 4.7827, 0.0000], [0.0000, 0.0000, 4.0797]],
  "species": ["Y", "Y", "Mg", "H", "Pt"],
  "fractional_positions": [[0.0000, 0.5000, 0.0000], [0.5000, 0.0000, 0.0000], [0.0000, 0.0000, 0.5000], [0.0000, 0.0000, 0.0000], [0.5000, 0.5000, 0.5000]],
  "total_energy_ev_per_atom": -5.348,
  "rho_g_cm3": 7.086,
  "de_polymorph_kj_per_mol_atoms": 0.3
}

[7]
{
  "formula": "Y2MgHPt",
  "functional": "PBE",
  "state": "optimized geometry",
  "lattice_angstrom": [[5.0358, 0.0000, 0.0000], [0.0000, 5.0358, 0.0000], [0.0000, 0.0000, 3.7872]],
  "species": ["Y", "Y", "Mg", "H", "Pt"],
  "fractional_positions": [[0.0000, 0.5000, 0.0000], [0.5000, 0.0000, 0.0000], [0.0000, 0.0000, 0.5000], [0.5000, 0.5000, 0.0000], [0.5000, 0.5000, 0.5000]],
  "total_energy_ev_per_atom": -5.351,
  "rho_g_cm3": 6.885,
  "de_polymorph_kj_per_mol_atoms": 0.0
}

[8]
{
  "formula": "YMg2HPt",
  "functional": "PBE",
  "state": "optimized geometry",
  "lattice_angstrom": [[4.2247, 0.0000, 0.0000], [0.0000, 4.2247, 0.0000], [0.0000, 0.0000, 4.7036]],
  "species": ["Y", "Mg", "Mg", "H", "Pt"],
  "fractional_positions": [[0.0000, 0.0000, 0.0000], [0.0000, 0.5000, 0.5000], [0.5000, 0.0000, 0.5000], [0.0000, 0.0000, 0.5000], [0.5000, 0.5000, 0.0000]],
  "total_energy_ev_per_atom": -4.315,
  "rho_g_cm3": 6.599
}